Compound: Sm3HfS6
Source: the Alexandria database
Functional: GGA-PBE
Structure: relaxed

abc: 11.9738 11.9738 11.6729
angles: 90.00 90.00 120.00
Space group R-3 (No. 148, hexagonal axes)
Unique sites:
Sm 0.0507 0.7703 0.1560
Hf 0.0000 0.0000 0.0000
Hf 0.0000 0.0000 0.5000
S 0.0315 0.8288 0.8957
S 0.0494 0.8505 0.3839

As for the formation energy without anion corrections: -1.898 eV per atom.

Compound: SmHfS
Source: the Alexandria database
Functional: GGA-PBE
Structure: relaxed

abc: 3.4541 5.1405 15.7983
angles: 90.00 90.00 90.00
Space group Immm (No. 71)
Unique sites:
Sm 0.0000 0.0000 0.1705
Hf 0.0000 0.2493 0.5000
S 0.0000 0.0000 0.3474

As for the formation energy without anion corrections: -0.676 eV per atom.

Compound: SmHfS3
Source: the Alexandria database
Functional: GGA-PBE
Structure: relaxed

abc: 8.3271 3.7286 13.3387
angles: 90.00 90.00 90.00
Space group Pnma (No. 62)
Unique sites:
Sm 0.0670 0.2500 0.1741
Hf 0.1610 0.7500 0.4530
S 0.0181 0.7500 0.6181
S 0.1548 0.7500 0.0189
S 0.1966 0.2500 0.7847

As for the formation energy without anion corrections: -1.746 eV per atom.

Compound: Sm2HfS5
Source: the Alexandria database
Functional: GGA-PBE
Structure: relaxed

abc: 11.6046 7.8950 7.3406
angles: 90.00 90.00 90.00
Space group Pnma (No. 62)
Unique sites:
Sm 0.1772 0.0019 0.0299
Hf 0.0069 0.7500 0.5745
S 0.0045 0.7500 0.9435
S 0.0881 0.0357 0.6630
S 0.1824 0.7500 0.3394
S 0.2059 0.2500 0.3177

As for the formation energy without anion corrections: -1.900 eV per atom.

Compound: Sm2HfS5
Source: the Alexandria database
Functional: GGA-PBE
Structure: relaxed

abc: 5.2236 13.5101 12.9066
angles: 90.00 90.00 90.00
Space group Cmcm (No. 63)
Unique sites:
Sm 0.0000 0.1441 0.0636
Hf 0.0000 0.1863 0.7500
S 0.0000 0.0491 0.6234
S 0.0000 0.2708 0.2500
S 0.0000 0.3015 0.5887

As for the formation energy without anion corrections: -1.804 eV per atom.

Compound: Sm2HfTl2S6
Source: the Alexandria database
Functional: GGA-PBE
Structure: relaxed

abc: 6.9188 11.8814 7.9139
angles: 90.00 107.22 90.00
Space group C2/m (No. 12)
Unique sites:
Sm 0.0000 0.1668 0.0000
Hf 0.0000 0.5000 0.0000
Tl 0.0000 0.3303 0.5000
S 0.2205 0.3454 0.1937
S 0.2387 0.5000 0.8040

As for the formation energy without anion corrections: -1.496 eV per atom.

Compound: Sm3HfTl3S8
Source: the Alexandria database
Functional: GGA-PBE
Structure: relaxed

abc: 8.0459 8.0459 22.7659
angles: 90.00 90.00 120.00
Space group R-3m (No. 166, hexagonal axes)
Unique sites:
Sm 0.0000 0.5000 0.0000
Hf 0.0000 0.0000 0.0000
Tl 0.0000 0.5000 0.5000
S 0.0000 0.0000 0.2657
S 0.0252 0.5126 0.7305

As for the formation energy without anion corrections: -1.491 eV per atom.

Compound: Sm3HfTl4S8
Source: the Alexandria database
Functional: GGA-PBE
Structure: relaxed

abc: 13.8583 7.9999 8.9998
angles: 90.00 120.97 90.00
Space group C2/m (No. 12)
Unique sites:
Sm 0.0000 0.0000 0.0000
Sm 0.2500 0.2500 0.0000
Hf 0.0000 0.5000 0.0000
Tl 0.0000 0.0000 0.5000
Tl 0.0000 0.5000 0.5000
Tl 0.2500 0.2500 0.5000
S 0.0128 0.2696 0.8085
S 0.2176 0.5000 0.1916
S 0.2346 0.0000 0.2035

As for the formation energy without anion corrections: -1.350 eV per atom.

Compound: Hf6SnS
Source: the Alexandria database
Functional: GGA-PBE
Structure: relaxed

abc: 5.5770 5.7262 5.8859
angles: 102.55 106.30 96.99
Space group P-1 (No. 2)
Unique sites:
Hf 0.0749 0.2545 0.1722
Hf 0.2533 0.8259 0.4150
Hf 0.2877 0.3789 0.7706
Sn 0.5000 0.0000 0.0000
S 0.5000 0.5000 0.5000

As for the formation energy without anion corrections: -0.305 eV per atom.

Compound: Hf5SnS
Source: the Alexandria database
Functional: GGA-PBE
Structure: relaxed

abc: 10.0936 6.2132 10.0681
angles: 90.00 108.04 90.00
Space group C2/c (No. 15)
Unique sites:
Hf 0.0000 0.0707 0.2500
Hf 0.1299 0.3497 0.0424
Hf 0.2170 0.1787 0.6384
Sn 0.0000 0.4368 0.7500
S 0.0000 0.0000 0.0000

As for the formation energy without anion corrections: -0.357 eV per atom.

Compound: Hf4SnS
Source: the Alexandria database
Functional: GGA-PBE
Structure: relaxed

abc: 14.1675 5.6503 6.6320
angles: 90.00 106.17 90.00
Space group C2/c (No. 15)
Unique sites:
Hf 0.0870 0.0866 0.4474
Hf 0.1846 0.3980 0.1404
Sn 0.0000 0.3907 0.7500
S 0.2500 0.2500 0.5000

As for the formation energy without anion corrections: -0.483 eV per atom.

Compound: HfSnS4
Source: the Alexandria database
Functional: GGA-PBE
Structure: relaxed

abc: 14.7311 3.6560 6.4387
angles: 90.00 114.80 90.00
Space group C2/m (No. 12)
Unique sites:
Hf 0.0000 0.0000 0.0000
Sn 0.0000 0.5000 0.5000
S 0.1095 0.0000 0.4397
S 0.1093 0.5000 0.9466

As for the formation energy without anion corrections: -0.923 eV per atom.

Compound: HfSnS4
Source: the Alexandria database
Functional: GGA-PBE
Structure: relaxed

abc: 6.4368 3.6577 6.6722
angles: 90.00 91.23 90.00
Space group P2/m (No. 10)
Unique sites:
Hf 0.0000 0.0000 0.0000
Sn 0.5000 0.5000 0.0000
S 0.1628 0.5000 0.2191
S 0.3299 0.0000 0.7807

As for the formation energy without anion corrections: -0.923 eV per atom.

Compound: Hf2Sn2S7
Source: the Alexandria database
Functional: GGA-PBE
Structure: relaxed

abc: 3.7100 14.9380 8.3026
angles: 90.00 90.00 90.00
Space group Imm2 (No. 44)
Unique sites:
Hf 0.0000 0.0000 0.0000
Hf 0.0000 0.5000 0.0446
Sn 0.0000 0.2319 0.7242
S 0.0000 0.1146 0.4865
S 0.0000 0.1825 0.0714
S 0.0000 0.4104 0.3154
S 0.0000 0.5000 0.7045

As for the formation energy without anion corrections: -0.875 eV per atom.

Compound: Hf3Sn2S8
Source: the Alexandria database
Functional: GGA-PBE
Structure: relaxed

abc: 14.0659 7.4286 6.4681
angles: 90.00 107.92 90.00
Space group C2/m (No. 12)
Unique sites:
Hf 0.0000 0.0000 0.0000
Hf 0.0000 0.2597 0.5000
Sn 0.2289 0.5000 0.1551
S 0.1040 0.0000 0.3989
S 0.1097 0.2341 0.8972
S 0.1123 0.5000 0.4432

As for the formation energy without anion corrections: -1.191 eV per atom.

Compound: Hf7Sn2S2
Source: the Alexandria database
Functional: GGA-PBE
Structure: relaxed

abc: 10.4482 9.5707 5.4206
angles: 90.00 117.18 90.00
Space group C2/m (No. 12)
Unique sites:
Hf 0.0000 0.0000 0.0000
Hf 0.1668 0.5000 0.6932
Hf 0.1720 0.3174 0.1514
Sn 0.0000 0.2481 0.5000
S 0.1666 0.0000 0.5096

As for the formation energy without anion corrections: -0.255 eV per atom.

Compound: Hf6SnS2
Source: the Alexandria database
Functional: GGA-PBE
Structure: relaxed

abc: 5.6933 5.6933 24.1949
angles: 90.00 90.00 120.00
Space group R3 (No. 146, hexagonal axes)
Unique sites:
Hf 0.0089 0.6748 0.0000
Hf 0.0118 0.3414 0.2346
Sn 0.0000 0.0000 0.4511
S 0.0000 0.0000 0.7285
S 0.0000 0.0000 0.8390

As for the formation energy without anion corrections: -0.220 eV per atom.

Compound: SrHfSnS2
Source: the Alexandria database
Functional: GGA-PBE
Structure: relaxed

abc: 5.3112 5.3112 5.4847
angles: 90.00 90.00 90.00
Space group P4/mmm (No. 123)
Unique sites:
Sr 0.0000 0.0000 0.0000
Hf 0.5000 0.5000 0.0000
Sn 0.5000 0.5000 0.5000
S 0.0000 0.5000 0.5000

As for the formation energy without anion corrections: 0.262 eV per atom.

Compound: Hf2SnTeS
Source: the Alexandria database
Functional: GGA-PBE
Structure: relaxed

abc: 5.4033 5.4033 5.3543
angles: 90.00 90.00 90.00
Space group P4/mmm (No. 123)
Unique sites:
Hf 0.0000 0.5000 0.0000
Sn 0.0000 0.0000 0.0000
Te 0.0000 0.0000 0.5000
S 0.5000 0.5000 0.5000

As for the formation energy without anion corrections: 1.210 eV per atom.

Compound: HfTlSn2S
Source: the Alexandria database
Functional: GGA-PBE
Structure: relaxed

abc: 5.1840 5.1840 5.1817
angles: 90.00 90.00 90.00
Space group P4/mmm (No. 123)
Unique sites:
Hf 0.0000 0.0000 0.0000
Tl 0.5000 0.5000 0.0000
Sn 0.0000 0.5000 0.5000
S 0.5000 0.5000 0.5000

As for the formation energy without anion corrections: 0.630 eV per atom.